Below is a geometry-optimized CaMgGe3 structure, with properties calculated at the GGA-PBE level.

Values from the calculation:
Calculated total energy = -3.2866 eV per atom
ΔH_f (0 K) = 203 meV/atom
DOS(E_F) = 3.0 states/eV per cell

Unit cell a=5.036 b=5.036 c=5.036 alpha=90.00 beta=90.00 gamma=90.00
Sites, in units of the cell vectors:
Mg1 0.000 0.000 0.000
Ge1 0.000 0.500 0.000
Ge2 0.000 0.000 0.500
Ge3 0.500 0.000 0.000
Ca1 0.500 0.500 0.500



Below is a geometry-optimized Pm2Cd2Hg3 structure, with properties calculated at the GGA-PBE level.

Values from the calculation:
Calculated total energy = -1.9883 eV per atom
ΔH_f (0 K) = -240 meV/atom
Energy above the most stable polymorph in this dataset = 96 meV per atom
DOS(E_F) = 6.1 states/eV per cell

Unit cell a=3.419 b=4.849 c=11.248 alpha=102.45 beta=90.00 gamma=90.00
Sites, in units of the cell vectors:
Pm1 0.000 0.851 0.702
Pm2 0.000 0.149 0.298
Cd1 0.500 0.716 0.433
Cd2 0.500 0.284 0.567
Hg1 0.500 0.573 0.147
Hg2 0.500 0.427 0.853
Hg3 0.000 0.000 0.000



Below is a geometry-optimized Be2HPdPt structure, with properties calculated at the GGA-PBE level.

Values from the calculation:
Calculated total energy = -4.7003 eV per atom
DOS(E_F) = 0.4 states/eV per cell

Unit cell a=3.877 b=3.877 c=3.351 alpha=90.00 beta=90.00 gamma=90.00
Sites, in units of the cell vectors:
Be1 0.000 0.500 0.000
Be2 0.500 0.000 0.000
Pd1 0.000 0.000 0.500
Pt1 0.500 0.500 0.500
H1 0.000 0.000 0.000



Below is a geometry-optimized PCl5 structure, with properties calculated at the GGA-PBE level.

Values from the calculation:
Calculated total energy = -1.3620 eV per atom
Formation energy without anion corrections = 1.08 eV per atom
DOS(E_F) = 8.2 states/eV per cell

Unit cell a=5.727 b=5.727 c=5.727 alpha=60.00 beta=60.00 gamma=60.00
Sites, in units of the cell vectors:
P1 0.000 0.000 0.000
Cl1 0.250 0.250 0.250
Cl2 0.626 0.626 0.626
Cl3 0.626 0.626 0.123
Cl4 0.123 0.626 0.626
Cl5 0.626 0.123 0.626



Below is a geometry-optimized ZrNiTe2 structure, with properties calculated at the GGA-PBE level.

Values from the calculation:
Calculated total energy = -5.7779 eV per atom
Formation energy without anion corrections = -0.62 eV per atom
Energy above the most stable polymorph in this dataset = 101 meV per atom
DOS(E_F) = 0.8 states/eV per cell

Unit cell a=6.418 b=6.418 c=3.746 alpha=90.00 beta=90.00 gamma=35.03
Sites, in units of the cell vectors:
Ni1 0.262 0.262 0.125
Te1 0.042 0.042 0.125
Te2 0.759 0.759 0.625
Zr1 0.437 0.437 0.625